No. 1
6
Lattice="4.4689 0.6251 0.4131 1.5138 5.3281 0.2515 1.5822 1.8242 4.8623" Properties=species:S:1:pos:R:3 comment="PaVMo PBE-GGA optimized geometry" polymorph_energy_mev_per_atom=25.6 e_form_ev_per_fu=0.5 pbc="T T T"
Pa 3.6689 4.3867 1.9615
Pa 1.7054 1.6398 2.5571
Mo 5.6960 5.0541 3.7670
Mo 1.6619 3.4354 0.3038
V 4.1618 1.4992 1.1220
V 3.7090 2.5460 4.2712

***

No. 2
11
Lattice="-2.9921 3.1004 3.4135 -6.0719 0.8750 -6.1170 0.6711 -8.8522 4.2023" Properties=species:S:1:pos:R:3 comment="K8SbP2 PBE-GGA optimized geometry" formation_energy_uncorrected_ev_per_atom=-0.2384 pbc="T T T"
K -1.2128 -2.1565 0.8956
K -3.9491 -4.4356 0.5672
K -6.5685 -5.1396 3.3368
K -7.1342 -0.0533 -1.7788
K -1.2587 -4.8234 3.2776
K -4.4438 -0.4411 0.9316
K -1.8244 0.2629 -1.8379
K -7.1801 -2.7202 0.6032
P -3.9369 -2.7896 3.5090
P -4.4560 -2.0871 -2.0102
Sb -1.4960 1.5502 1.7068

***

The evaluated N(E_F) for the records listed, in turn: 7.493, 15.639 states/eV/cell.